No. 1
Compound: LiMgMn2
Source: Alexandria via LeMat-Bulk
Functional: PBE-GGA
Structure: optimized geometry

The space group is I-42d (No. 122) and the conventional cell measures 3.4069, 3.4069 and 18.8086 Å, with angles of 90.00, 90.00 and 90.00 degrees. The distinct sites, in fractional coordinates, are Li at (0.0000, 0.0000, 0.0000), Mg at (0.0000, 0.0000, 0.5000) and Mn at (0.1972, 0.7500, 0.1250).

The calculation puts the volume at 218.3 Å³ per cell. Its energy is -0.35184 Ry/atom.

No. 2
Compound: Pr3DyY8
Source: Alexandria via LeMat-Bulk
Functional: PBE-GGA
Structure: optimized geometry

The space group is I-42m (No. 121) and the conventional cell measures 8.8112, 8.8112 and 11.4498 Å, with angles of 90.00, 90.00 and 90.00 degrees. The distinct sites, in fractional coordinates, are Pr at (0.0000, 0.0000, 0.0000), Pr at (0.0000, 0.5000, 0.2500), Dy at (0.0000, 0.0000, 0.5000), Y at (0.1257, 0.1257, 0.7449) and Y at (0.2436, 0.2436, 0.4878).

The calculation puts the volume at 888.9 Å³ per cell. Its energy is -0.38723 Ry/atom.

No. 3
Compound: Tb2Dy2ErTm
Source: Alexandria via LeMat-Bulk
Functional: PBE-GGA
Structure: optimized geometry

The space group is Pmma (No. 51) and the conventional cell measures 6.9384, 5.5718 and 9.6052 Å, with angles of 90.00, 90.00 and 90.00 degrees. The distinct sites, in fractional coordinates, are Tb at (0.2500, 0.0000, 0.1585), Tb at (0.2500, 0.5000, 0.6738), Dy at (0.0000, 0.5000, 0.0000), Dy at (0.2500, 0.0000, 0.8233), Er at (0.0000, 0.0000, 0.5000) and Tm at (0.2500, 0.5000, 0.3411).

The calculation puts the volume at 371.3 Å³ per cell. Its energy is -0.33171 Ry/atom.

Number 1: DFT formation energy 2.7 eV per formula unit. Number 2: DFT formation energy 7.4 eV per formula unit. Number 3: DFT formation energy 0.4 eV per formula unit.